# 1
A geometry-optimized MgGeO2 structure, computed with PBE.

Geometry as POSCAR:
```
MgGeO2
1.0
4.915 0.000 0.000
0.000 4.915 0.000
0.000 0.000 9.661
Mg Ge O
4 4 8
direct
0.000 0.000 0.000 Mg
0.000 0.500 0.250 Mg
0.500 0.000 0.750 Mg
0.500 0.500 0.500 Mg
0.000 0.000 0.500 Ge
0.000 0.500 0.750 Ge
0.500 0.000 0.250 Ge
0.500 0.500 0.000 Ge
0.212 0.250 0.125 O
0.250 0.712 0.375 O
0.250 0.788 0.875 O
0.288 0.250 0.625 O
0.712 0.750 0.625 O
0.750 0.212 0.875 O
0.750 0.288 0.375 O
0.788 0.750 0.125 O
```

Values from the calculation:
- DOS at the Fermi energy: 0.0 states/eV/cell
- Volume: 233.4 Å³ per cell
- DFT total energy: -5.5541 eV per atom
- Space group: I-42d (122)
- Excess energy over the best structure of this formula in the dataset: 0.175 eV/atom
- Formation energy without anion corrections: -1.5220 eV/atom

# 2
A geometry-optimized MgGeO2 structure, computed with PBE.

Geometry as POSCAR:
```
MgGeO2
1.0
3.040 0.000 0.000
-1.520 2.633 0.000
0.000 0.000 19.527
Mg Ge O
3 3 6
direct
0.000 0.000 0.000 Mg
0.333 0.667 0.667 Mg
0.667 0.333 0.333 Mg
0.000 0.000 0.500 Ge
0.333 0.667 0.167 Ge
0.667 0.333 0.833 Ge
0.000 0.000 0.116 O
0.000 0.000 0.884 O
0.333 0.667 0.551 O
0.333 0.667 0.782 O
0.667 0.333 0.218 O
0.667 0.333 0.449 O
```

Values from the calculation:
- DOS at the Fermi energy: 3.5 states/eV/cell
- Volume: 156.3 Å³ per cell
- DFT total energy: -5.1044 eV per atom
- Space group: R-3m (166)
- Excess energy over the best structure of this formula in the dataset: 0.625 eV/atom
- Formation energy without anion corrections: -1.0723 eV/atom

# 3
A geometry-optimized MgGeO2 structure, computed with PBE.

Geometry as POSCAR:
```
MgGeO2
1.0
2.997 0.000 0.000
-1.499 2.596 0.000
0.000 0.000 17.516
Mg Ge O
3 3 6
direct
0.000 0.000 0.000 Mg
0.333 0.667 0.667 Mg
0.667 0.333 0.333 Mg
0.000 0.000 0.500 Ge
0.333 0.667 0.167 Ge
0.667 0.333 0.833 Ge
0.000 0.000 0.396 O
0.000 0.000 0.604 O
0.333 0.667 0.063 O
0.333 0.667 0.271 O
0.667 0.333 0.729 O
0.667 0.333 0.937 O
```

Values from the calculation:
- DOS at the Fermi energy: 0.0 states/eV/cell
- Volume: 136.3 Å³ per cell
- DFT total energy: -5.7296 eV per atom
- Space group: R-3m (166)
- Excess energy over the best structure of this formula in the dataset: 0.000 eV/atom
- Formation energy without anion corrections: -1.6975 eV/atom

# 4
A geometry-optimized Mg4GeO6 structure, computed with PBE.

Geometry as POSCAR:
```
Mg4GeO6
1.0
4.948 -2.925 0.000
4.948 2.925 0.000
-3.372 0.000 9.663
Mg Ge O
8 2 12
direct
0.051 0.313 0.829 Mg
0.067 0.933 0.500 Mg
0.125 0.581 0.169 Mg
0.313 0.051 0.329 Mg
0.545 0.760 0.024 Mg
0.581 0.125 0.669 Mg
0.760 0.545 0.524 Mg
0.933 0.067 0.000 Mg
0.148 0.704 0.756 Ge
0.704 0.148 0.256 Ge
0.083 0.645 0.576 O
0.258 0.833 0.135 O
0.279 0.928 0.863 O
0.343 0.385 0.806 O
0.385 0.343 0.306 O
0.438 0.903 0.507 O
0.645 0.083 0.076 O
0.825 0.861 0.806 O
0.833 0.258 0.635 O
0.861 0.825 0.306 O
0.903 0.438 0.007 O
0.928 0.279 0.363 O
```

Values from the calculation:
- DOS at the Fermi energy: 0.0 states/eV/cell
- Volume: 279.7 Å³ per cell
- DFT total energy: -6.0246 eV per atom
- Space group: Cc (9)
- Formation energy without anion corrections: -2.3205 eV/atom

# 5
A geometry-optimized Mg2GeO structure, computed with PBE.

Geometry as POSCAR:
```
Mg2GeO
1.0
6.371 0.000 0.000
0.000 6.371 0.000
0.000 0.000 6.371
Mg Ge O
8 4 4
direct
0.250 0.250 0.250 Mg
0.250 0.250 0.750 Mg
0.250 0.750 0.250 Mg
0.250 0.750 0.750 Mg
0.750 0.250 0.250 Mg
0.750 0.250 0.750 Mg
0.750 0.750 0.250 Mg
0.750 0.750 0.750 Mg
0.000 0.000 0.000 Ge
0.000 0.500 0.500 Ge
0.500 0.000 0.500 Ge
0.500 0.500 0.000 Ge
0.000 0.000 0.500 O
0.000 0.500 0.000 O
0.500 0.000 0.000 O
0.500 0.500 0.500 O
```

Values from the calculation:
- DOS at the Fermi energy: 5.3 states/eV/cell
- Volume: 258.6 Å³ per cell
- DFT total energy: -3.4195 eV per atom
- Space group: Fm-3m (225)
- Excess energy over the best structure of this formula in the dataset: 0.896 eV/atom
- Formation energy without anion corrections: -0.2283 eV/atom

# 6
A geometry-optimized MgGe2O structure, computed with PBE.

Geometry as POSCAR:
```
MgGe2O
1.0
4.722 0.000 0.000
0.000 4.722 0.000
0.000 0.000 13.608
Mg Ge O
4 8 4
direct
0.000 0.000 0.000 Mg
0.000 0.500 0.250 Mg
0.500 0.000 0.750 Mg
0.500 0.500 0.500 Mg
0.127 0.250 0.625 Ge
0.250 0.627 0.875 Ge
0.250 0.873 0.375 Ge
0.373 0.250 0.125 Ge
0.627 0.750 0.125 Ge
0.750 0.127 0.375 Ge
0.750 0.373 0.875 Ge
0.873 0.750 0.625 Ge
0.000 0.000 0.500 O
0.000 0.500 0.750 O
0.500 0.000 0.250 O
0.500 0.500 0.000 O
```

Values from the calculation:
- DOS at the Fermi energy: 3.7 states/eV/cell
- Volume: 303.4 Å³ per cell
- DFT total energy: -4.1567 eV per atom
- Space group: I-42d (122)
- Excess energy over the best structure of this formula in the dataset: 0.000 eV/atom
- Formation energy without anion corrections: -0.2098 eV/atom

# 7
A geometry-optimized Mg3GeO4 structure, computed with PBE.

Geometry as POSCAR:
```
Mg3GeO4
1.0
6.725 0.000 0.000
0.000 5.839 0.000
0.000 0.000 5.586
Mg Ge O
6 2 8
direct
0.000 0.182 0.000 Mg
0.245 0.341 0.501 Mg
0.255 0.659 0.001 Mg
0.500 0.818 0.500 Mg
0.745 0.659 0.001 Mg
0.755 0.341 0.501 Mg
0.000 0.835 0.593 Ge
0.500 0.165 0.093 Ge
0.000 0.210 0.645 O
0.000 0.839 0.949 O
0.227 0.348 0.144 O
0.273 0.652 0.644 O
0.500 0.161 0.449 O
0.500 0.790 0.145 O
0.727 0.652 0.644 O
0.773 0.348 0.144 O
```

Values from the calculation:
- DOS at the Fermi energy: 0.0 states/eV/cell
- Volume: 219.4 Å³ per cell
- DFT total energy: -5.8399 eV per atom
- Space group: Pmn2_1 (31)
- Formation energy without anion corrections: -2.1856 eV/atom

# 8
A geometry-optimized MgGe3O structure, computed with PBE.

Geometry as POSCAR:
```
MgGe3O
1.0
4.483 0.000 0.000
0.000 4.483 0.000
0.000 0.000 4.483
Mg Ge O
1 3 1
direct
0.000 0.000 0.000 Mg
0.000 0.500 0.500 Ge
0.500 0.000 0.500 Ge
0.500 0.500 0.000 Ge
0.500 0.500 0.500 O
```

Values from the calculation:
- DOS at the Fermi energy: 0.7 states/eV/cell
- Volume: 90.1 Å³ per cell
- DFT total energy: -4.1753 eV per atom
- Space group: Pm-3m (221)
- Excess energy over the best structure of this formula in the dataset: 0.000 eV/atom
- Formation energy without anion corrections: -0.0943 eV/atom

# 9
A geometry-optimized MgGe2O structure, computed with PBE.

Geometry as POSCAR:
```
MgGe2O
1.0
6.401 0.000 0.000
0.000 6.401 0.000
0.000 0.000 6.401
Mg Ge O
4 8 4
direct
0.000 0.000 0.000 Mg
0.000 0.500 0.500 Mg
0.500 0.000 0.500 Mg
0.500 0.500 0.000 Mg
0.250 0.250 0.250 Ge
0.250 0.250 0.750 Ge
0.250 0.750 0.250 Ge
0.250 0.750 0.750 Ge
0.750 0.250 0.250 Ge
0.750 0.250 0.750 Ge
0.750 0.750 0.250 Ge
0.750 0.750 0.750 Ge
0.000 0.000 0.500 O
0.000 0.500 0.000 O
0.500 0.000 0.000 O
0.500 0.500 0.500 O
```

Values from the calculation:
- DOS at the Fermi energy: 8.4 states/eV/cell
- Volume: 262.2 Å³ per cell
- DFT total energy: -3.6523 eV per atom
- Space group: Fm-3m (225)
- Excess energy over the best structure of this formula in the dataset: 0.504 eV/atom
- Formation energy without anion corrections: 0.2946 eV/atom

# 10
A geometry-optimized MgGeOsO6 structure, computed with PBE.

Geometry as POSCAR:
```
MgGeOsO6
1.0
5.049 0.000 0.000
-2.525 4.373 0.000
0.000 0.000 9.005
Mg Ge Os O
2 2 2 12
direct
0.000 0.000 0.000 Mg
0.000 0.000 0.500 Mg
0.333 0.667 0.250 Ge
0.667 0.333 0.750 Ge
0.333 0.667 0.750 Os
0.667 0.333 0.250 Os
0.000 0.352 0.636 O
0.000 0.353 0.136 O
0.000 0.647 0.864 O
0.000 0.648 0.364 O
0.352 0.000 0.136 O
0.352 0.353 0.364 O
0.353 0.000 0.636 O
0.353 0.352 0.864 O
0.647 0.000 0.364 O
0.647 0.648 0.136 O
0.648 0.000 0.864 O
0.648 0.647 0.636 O
```

Values from the calculation:
- DOS at the Fermi energy: 8.1 states/eV/cell
- Volume: 198.8 Å³ per cell
- DFT total energy: -6.7596 eV per atom
- Space group: P-31c (163)
- Formation energy without anion corrections: -1.5162 eV/atom

# 11
A geometry-optimized MgGePO2 structure, computed with PBE.

Geometry as POSCAR:
```
MgGePO2
1.0
3.813 0.000 0.000
0.000 3.813 0.000
0.000 0.000 5.382
Mg Ge P O
1 1 1 2
direct
0.000 0.000 0.000 Mg
0.500 0.500 0.500 Ge
0.000 0.000 0.500 P
0.000 0.500 0.000 O
0.500 0.000 0.000 O
```

Values from the calculation:
- DOS at the Fermi energy: 3.3 states/eV/cell
- Volume: 78.2 Å³ per cell
- DFT total energy: -4.5489 eV per atom
- Space group: P4/mmm (123)
- Excess energy over the best structure of this formula in the dataset: 0.370 eV/atom
- Formation energy without anion corrections: -0.2412 eV/atom

# 12
A geometry-optimized MgGePO2 structure, computed with PBE.

Geometry as POSCAR:
```
MgGePO2
1.0
3.711 0.000 0.000
0.000 3.711 0.000
0.000 0.000 5.202
Mg Ge P O
1 1 1 2
direct
0.000 0.000 0.000 Mg
0.500 0.500 0.500 Ge
0.500 0.500 0.000 P
0.000 0.500 0.500 O
0.500 0.000 0.500 O
```

Values from the calculation:
- DOS at the Fermi energy: 3.9 states/eV/cell
- Volume: 71.7 Å³ per cell
- DFT total energy: -4.9190 eV per atom
- Space group: P4/mmm (123)
- Excess energy over the best structure of this formula in the dataset: 0.000 eV/atom
- Formation energy without anion corrections: -0.6114 eV/atom

# 13
A geometry-optimized MgPaGeO6 structure, computed with PBE.

Geometry as POSCAR:
```
MgPaGeO6
1.0
5.379 0.000 0.000
-2.690 4.659 0.000
0.000 0.000 8.768
Mg Pa Ge O
2 2 2 12
direct
0.000 0.000 0.000 Mg
0.000 0.000 0.500 Mg
0.333 0.667 0.250 Pa
0.667 0.333 0.750 Pa
0.333 0.667 0.750 Ge
0.667 0.333 0.250 Ge
0.038 0.361 0.631 O
0.038 0.677 0.869 O
0.323 0.361 0.869 O
0.323 0.962 0.631 O
0.361 0.038 0.131 O
0.361 0.323 0.369 O
0.639 0.677 0.631 O
0.639 0.962 0.869 O
0.677 0.038 0.369 O
0.677 0.639 0.131 O
0.962 0.323 0.131 O
0.962 0.639 0.369 O
```

Values from the calculation:
- DOS at the Fermi energy: 10.0 states/eV/cell
- Volume: 219.7 Å³ per cell
- DFT total energy: -7.3571 eV per atom
- Space group: P-31c (163)
- Formation energy without anion corrections: -2.3063 eV/atom

# 14
A geometry-optimized MgGePbO4 structure, computed with PBE.

Geometry as POSCAR:
```
MgGePbO4
1.0
5.571 0.000 0.000
0.000 5.711 0.000
-1.641 0.000 6.543
Mg Ge Pb O
2 2 2 8
direct
0.186 0.250 0.048 Mg
0.814 0.750 0.952 Mg
0.281 0.750 0.848 Ge
0.719 0.250 0.152 Ge
0.271 0.250 0.590 Pb
0.729 0.750 0.410 Pb
0.063 0.514 0.816 O
0.063 0.986 0.816 O
0.487 0.750 0.684 O
0.497 0.750 0.086 O
0.503 0.250 0.914 O
0.513 0.250 0.316 O
0.937 0.014 0.184 O
0.937 0.486 0.184 O
```

Values from the calculation:
- DOS at the Fermi energy: 0.0 states/eV/cell
- Volume: 208.2 Å³ per cell
- DFT total energy: -5.9679 eV per atom
- Space group: P2_1/m (11)
- Formation energy without anion corrections: -1.7175 eV/atom

# 15
A geometry-optimized MgGe2PdO6 structure, computed with PBE.

Geometry as POSCAR:
```
MgGe2PdO6
1.0
5.069 -4.653 0.000
5.069 4.653 0.000
-1.569 0.000 5.171
Mg Ge Pd O
2 4 2 12
direct
0.093 0.907 0.750 Mg
0.907 0.093 0.250 Mg
0.210 0.387 0.740 Ge
0.387 0.210 0.240 Ge
0.613 0.790 0.760 Ge
0.790 0.613 0.260 Ge
0.270 0.730 0.250 Pd
0.730 0.270 0.750 Pd
0.039 0.196 0.631 O
0.130 0.629 0.877 O
0.196 0.039 0.131 O
0.306 0.417 0.466 O
0.371 0.870 0.623 O
0.417 0.306 0.966 O
0.583 0.694 0.034 O
0.629 0.130 0.377 O
0.694 0.583 0.534 O
0.804 0.961 0.869 O
0.870 0.371 0.123 O
0.961 0.804 0.369 O
```

Values from the calculation:
- DOS at the Fermi energy: 7.4 states/eV/cell
- Volume: 243.9 Å³ per cell
- DFT total energy: -6.0965 eV per atom
- Space group: C2/c (15)
- Formation energy without anion corrections: -1.5193 eV/atom

# 16
A geometry-optimized MgGePd2O structure, computed with PBE.

Geometry as POSCAR:
```
MgGePd2O
1.0
4.522 0.000 0.000
0.000 4.522 0.000
0.000 0.000 3.766
Mg Ge Pd O
1 1 2 1
direct
0.000 0.000 0.000 Mg
0.500 0.500 0.000 Ge
0.000 0.500 0.500 Pd
0.500 0.000 0.500 Pd
0.000 0.000 0.500 O
```

Values from the calculation:
- DOS at the Fermi energy: 1.4 states/eV/cell
- Volume: 77.0 Å³ per cell
- DFT total energy: -4.8552 eV per atom
- Space group: P4/mmm (123)
- Formation energy without anion corrections: -0.5441 eV/atom

# 17
A geometry-optimized Pm2MgGeO6 structure, computed with PBE.

Geometry as POSCAR:
```
Pm2MgGeO6
1.0
5.272 0.000 0.000
0.000 5.272 0.000
0.000 0.000 4.646
Pm Mg Ge O
2 1 1 6
direct
0.000 0.500 0.000 Pm
0.500 0.000 0.000 Pm
0.000 0.000 0.563 Mg
0.500 0.500 0.571 Ge
0.000 0.000 0.135 O
0.261 0.261 0.685 O
0.261 0.739 0.685 O
0.500 0.500 0.183 O
0.739 0.261 0.685 O
0.739 0.739 0.685 O
```

Values from the calculation:
- DOS at the Fermi energy: 0.0 states/eV/cell
- Volume: 129.1 Å³ per cell
- DFT total energy: -7.2453 eV per atom
- Space group: P4mm (99)
- Formation energy without anion corrections: -2.6990 eV/atom

# 18
A geometry-optimized Mg2GePtO6 structure, computed with PBE.

Geometry as POSCAR:
```
Mg2GePtO6
1.0
5.293 0.000 0.000
0.000 5.293 0.000
0.000 0.000 4.409
Mg Ge Pt O
2 1 1 6
direct
0.000 0.500 0.000 Mg
0.500 0.000 0.000 Mg
0.000 0.000 0.624 Ge
0.500 0.500 0.693 Pt
0.000 0.000 0.235 O
0.237 0.237 0.780 O
0.237 0.763 0.780 O
0.500 0.500 0.213 O
0.763 0.237 0.780 O
0.763 0.763 0.780 O
```

Values from the calculation:
- DOS at the Fermi energy: 5.7 states/eV/cell
- Volume: 123.5 Å³ per cell
- DFT total energy: -5.6818 eV per atom
- Space group: P4mm (99)
- Formation energy without anion corrections: -1.3221 eV/atom

# 19
A geometry-optimized RbMgGe2O6 structure, computed with PBE.

Geometry as POSCAR:
```
RbMgGe2O6
1.0
5.064 -5.695 0.000
5.064 5.695 0.000
-0.708 0.000 5.116
Rb Mg Ge O
2 2 4 12
direct
0.093 0.907 0.750 Rb
0.907 0.093 0.250 Rb
0.268 0.732 0.250 Mg
0.732 0.268 0.750 Mg
0.212 0.383 0.744 Ge
0.383 0.212 0.244 Ge
0.617 0.788 0.756 Ge
0.788 0.617 0.256 Ge
0.002 0.721 0.251 O
0.241 0.605 0.887 O
0.264 0.376 0.407 O
0.279 0.998 0.249 O
0.376 0.264 0.907 O
0.395 0.759 0.613 O
0.605 0.241 0.387 O
0.624 0.736 0.093 O
0.721 0.002 0.751 O
0.736 0.624 0.593 O
0.759 0.395 0.113 O
0.998 0.279 0.749 O
```

Values from the calculation:
- Volume: 295.0 Å³ per cell
- DFT total energy: -5.8309 eV per atom
- Space group: C2/c (15)
- Formation energy without anion corrections: -1.6762 eV/atom

# 20
A geometry-optimized Rb2MgGeO4 structure, computed with PBE.

Geometry as POSCAR:
```
Rb2MgGeO4
1.0
0.000 6.105 10.585
2.578 0.000 10.585
2.578 6.105 0.000
Rb Mg Ge O
4 2 2 8
direct
0.051 0.051 0.699 Rb
0.301 0.301 0.949 Rb
0.699 0.699 0.051 Rb
0.949 0.949 0.301 Rb
0.125 0.125 0.125 Mg
0.875 0.875 0.875 Mg
0.375 0.375 0.375 Ge
0.625 0.625 0.625 Ge
0.023 0.641 0.560 O
0.276 0.560 0.641 O
0.359 0.977 0.724 O
0.440 0.724 0.977 O
0.560 0.276 0.023 O
0.641 0.023 0.276 O
0.724 0.440 0.359 O
0.977 0.359 0.440 O
```

Values from the calculation:
- DOS at the Fermi energy: 0.0 states/eV/cell
- Volume: 333.2 Å³ per cell
- DFT total energy: -5.3284 eV per atom
- Space group: Fddd (70)
- Formation energy without anion corrections: -1.8309 eV/atom

# 21
A geometry-optimized Mg2GeRuO6 structure, computed with PBE.

Geometry as POSCAR:
```
Mg2GeRuO6
1.0
5.270 0.000 0.000
0.000 5.270 0.000
0.000 0.000 4.610
Mg Ge Ru O
2 1 1 6
direct
0.000 0.500 0.000 Mg
0.500 0.000 0.000 Mg
0.000 0.000 0.658 Ge
0.500 0.500 0.671 Ru
0.000 0.000 0.284 O
0.242 0.242 0.805 O
0.242 0.758 0.805 O
0.500 0.500 0.278 O
0.758 0.242 0.805 O
0.758 0.758 0.805 O
```

Values from the calculation:
- DOS at the Fermi energy: 1.6 states/eV/cell
- Volume: 128.0 Å³ per cell
- DFT total energy: -6.1861 eV per atom
- Space group: P4mm (99)
- Formation energy without anion corrections: -1.5029 eV/atom